Li2AlCl: optimized geometry, GGA-PBE.

It has space group Pm (No. 6), with a = 3.4558 Å, b = 6.7226 Å, c = 3.7587 Å, α = 90.00°, β = 90.00° and γ = 90.00°. The inequivalent atoms are Li at (0.0000, 0.0000, 0.0000), Li at (0.1465, 0.5000, 0.0107), Al at (0.6431, 0.5000, 0.5102) and Cl at (0.5150, 0.0000, 0.5012).

The calculation puts the density of states at the Fermi level at 0.96 states/eV per cell. The calculation puts the raw formation energy at -0.460 eV/atom. The magnetization is 0.0 μB per formula unit.